(1)
A plane-wave DFT calculation with PBE was carried out for a relaxed KMnHg crystal.

Lattice parameters (Å, degrees): 5.229 5.229 5.229 60.00 60.00 60.00
Each line ends with the local moment (μB).
Positions (direct):
K: 0.000 0.000 0.000  -0.01
Hg: 0.750 0.750 0.750  -0.01
Mn: 0.500 0.500 0.500  4.24

Properties
Relative energy among the computed polymorphs ... 275 meV per atom

***

(2)
A plane-wave DFT calculation with PBE was carried out for a relaxed KMn2Hg crystal.

Lattice parameters (Å, degrees): 6.395 6.395 6.395 151.81 128.38 59.85
Each line ends with the local moment (μB).
Positions (direct):
Hg: 0.750 0.250 0.500  -0.05
Mn: 0.535 0.535 0.000  3.97
Mn: 0.965 0.965 0.000  3.97
K: 0.250 0.750 0.500  -0.01

Properties
Uncorrected energy ... -4.230 eV per atom

***

no.,V (Å³/cell)
1,101
2,96